# 1
Crystalline LuAgPO at its relaxed geometry. Source: OQMD, functional GGA-PBE.

Calculated values
**Magnetic moment**: 0.01 μB per cell
**Energy relative to the lowest polymorph listed for this composition**: 0.4830 eV/atom
**SG**: No. 129
**Total DFT energy (no corrections)**: -44.1 eV per cell

a = 5.4678 Å, b = 5.4678 Å, c = 4.6248 Å
α = 90.00°, β = 90.00°, γ = 90.00°
Last column: nearest neighbours and their distance in Å.
Sites, in units of the cell vectors:
1 Lu 0.2500 0.7500 0.0000  2 O 2.31
2 Lu 0.7500 0.2500 0.0000  2 O 2.31
3 Ag 0.2500 0.2500 0.4984  2 P 2.31
4 Ag 0.7500 0.7500 0.5016  2 P 2.31
5 P 0.2500 0.2500 0.9985  2 Ag 2.31
6 P 0.7500 0.7500 0.0015  2 Ag 2.31
7 O 0.2500 0.7500 0.5000  2 Lu 2.31
8 O 0.7500 0.2500 0.5000  2 Lu 2.31

# 2
Crystalline Li2HPdAu at its relaxed geometry. Source: OQMD, functional GGA-PBE.

Calculated values
**SG**: No. 123
**Total DFT energy (no corrections)**: -18.1 eV per cell

a = 4.1005 Å, b = 4.1005 Å, c = 3.5789 Å
α = 90.00°, β = 90.00°, γ = 90.00°
Last column: nearest neighbours and their distance in Å.
Sites, in units of the cell vectors:
1 Li 0.0000 0.5000 0.0000  2 H 2.05
2 Li 0.5000 0.0000 0.0000  2 H 2.05
3 H 0.0000 0.0000 0.0000  2 Pd 1.79
4 Pd 0.0000 0.0000 0.5000  2 H 1.79
5 Au 0.5000 0.5000 0.5000  8 Li 2.72, 4 Pd 2.90

Which of these has the lowest total DFT energy (no corrections)? LuAgPO

total DFT energy (no corrections) of number 2 (Li2HPdAu)? -18.1 eV per cell